(1)
The following is a PBE-GGA calculation of a relaxed ZnCuIr2 crystal, from the Alexandria database.

Output
DFT total energy   -69.27 eV/cell

a b c (Å): 2.7292 2.7292 25.9762
angles (deg): 90.00 90.00 120.00
Space group R3m (No. 160, hexagonal axes)
Unique sites:
Zn 0.0000 0.0000 0.0000 [3 per cell]
Cu 0.0000 0.0000 0.7473 [3 per cell]
Ir 0.0000 0.0000 0.2486 [3 per cell]
Ir 0.0000 0.0000 0.4973 [3 per cell]

(2)
The following is a PBE-GGA calculation of a relaxed La3CeHo2As6 crystal, from the Alexandria database.

Output
DFT total energy   -152.23 eV/cell

a b c (Å): 7.369 12.761 7.385
angles (deg): 90.00 109.43 90.00
Space group C2/m (No. 12)
Unique sites:
La 0.000 0.000 0.000 [2 per cell]
La 0.000 0.334 0.000 [4 per cell]
Ce 0.000 0.500 0.500 [2 per cell]
Ho 0.000 0.167 0.500 [4 per cell]
As 0.244 0.000 0.736 [4 per cell]
As 0.246 0.333 0.736 [8 per cell]

(3)
The following is a PBE-GGA calculation of a relaxed VGaAsSe2 crystal, from the Alexandria database.

Output
Energy relative to the elements, uncorrected   -5 meV/atom

a b c (Å): 4.858 4.858 4.828
angles (deg): 90.00 90.00 90.00
Space group P4/mmm (No. 123)
Unique sites:
V 0.000 0.000 0.000 [1 per cell]
Ga 0.500 0.500 0.500 [1 per cell]
As 0.000 0.000 0.500 [1 per cell]
Se 0.000 0.500 0.000 [2 per cell]

(4)
The following is a PBE-GGA calculation of a relaxed Cd2ReOs crystal, from the Alexandria database.

Output
DFT total energy   -45.54 eV/cell

a b c (Å): 9.842 2.887 4.849
angles (deg): 90.00 100.43 90.00
Space group C2/m (No. 12)
Unique sites:
Cd 0.249 0.000 0.249 [4 per cell]
Re 0.000 0.000 0.500 [2 per cell]
Os 0.000 0.500 0.000 [2 per cell]

(5)
The following is a PBE-GGA calculation of a relaxed PaSb2AuN crystal, from the Alexandria database.

Output
Energy relative to the elements, uncorrected   -763 meV/atom

a b c (Å): 3.975 3.975 14.631
angles (deg): 90.00 90.00 90.00
Space group P4/nmm (No. 129, origin choice 2)
Unique sites:
Pa 0.250 0.250 0.080 [2 per cell]
Sb 0.250 0.250 0.427 [2 per cell]
Sb 0.250 0.250 0.801 [2 per cell]
Au 0.250 0.250 0.617 [2 per cell]
N 0.250 0.750 0.000 [2 per cell]

(6)
The following is a PBE-GGA calculation of a relaxed ScIrIO2 crystal, from the Alexandria database.

Output
Energy relative to the elements, uncorrected   -575 meV/atom

a b c (Å): 3.961 3.961 6.476
angles (deg): 90.00 90.00 90.00
Space group P4/mmm (No. 123)
Unique sites:
Sc 0.000 0.000 0.000 [1 per cell]
Ir 0.500 0.500 0.500 [1 per cell]
I 0.000 0.000 0.500 [1 per cell]
O 0.000 0.500 0.000 [2 per cell]

(7)
The following is a PBE-GGA calculation of a relaxed SiSnW crystal, from the Alexandria database.

Output
Energy relative to the elements, uncorrected   198 meV/atom

a b c (Å): 9.005 3.247 8.008
angles (deg): 90.00 106.23 90.00
Space group Cm (No. 8)
Unique sites:
Si 0.000 0.000 0.000 [2 per cell]
Si 0.085 0.500 0.743 [2 per cell]
Sn 0.125 0.000 0.466 [2 per cell]
Sn 0.314 0.500 0.251 [2 per cell]
W 0.267 0.000 0.948 [2 per cell]
W 0.357 0.500 0.679 [2 per cell]

(8)
The following is a PBE-GGA calculation of a relaxed Cu3PdAu2 crystal, from the Alexandria database.

Output
DFT total energy   -98.27 eV/cell

a b c (Å): 4.057 12.030 7.191
angles (deg): 90.00 90.00 90.00
Space group Cmmm (No. 65)
Unique sites:
Cu 0.000 0.000 0.244 [4 per cell]
Cu 0.000 0.331 0.243 [8 per cell]
Pd 0.000 0.167 0.000 [4 per cell]
Au 0.000 0.166 0.500 [4 per cell]
Au 0.000 0.500 0.000 [2 per cell]
Au 0.000 0.500 0.500 [2 per cell]

(9)
The following is a PBE-GGA calculation of a relaxed Nd5DySc crystal, from the Alexandria database.

Output
DFT total energy   -56.94 eV/cell

a b c (Å): 5.824 8.694 12.040
angles (deg): 90.00 90.00 90.00
Space group Immm (No. 71)
Unique sites:
Nd 0.000 0.000 0.000 [2 per cell]
Nd 0.000 0.182 0.500 [4 per cell]
Nd 0.000 0.500 0.255 [4 per cell]
Dy 0.000 0.500 0.000 [2 per cell]
Sc 0.000 0.500 0.500 [2 per cell]

Calculated values (states/eV/f.u.) of D(E_F) for the records, taken in order: 2.92; 5.74; 3.19; 3.44; 2.13; 5.48; 0.62; 2.17; 12.50.